1.
The following is a DFT calculation (PBE-GGA) of ThZr3Sb2 after structural relaxation.

Cell and atoms, written as extended XYZ:
```
12
Lattice="-2.1420 -1.8186 -2.8777 8.9086 -4.0728 -1.2465 -5.4684 -3.5802 6.3329" Properties=species:S:1:pos:R:3 pbc="T T T"
Sb -1.7002 -1.7515 -0.4382
Zr 2.7916 -7.4135 -0.2034
Sb -0.5923 -4.8363 3.4973
Zr -3.4365 -4.4803 2.5786
Th -0.3483 -7.9175 2.4522
Zr -0.6790 -4.3718 0.4576
Zr 4.7347 -4.9913 -0.3699
Sb 1.8905 -4.6353 -1.2885
Th 1.6465 -1.5541 -0.2434
Zr -1.4934 -2.0581 2.4122
Zr 1.9772 -5.0998 1.7512
Sb 2.9984 -7.7201 2.6470
```

V	155.4	Å³/f.u.
SG	No. 12
DFT total energy	-7.369	eV/atom
formation energy (no corrections)	-484	meV/atom

=====

2.
The following is a DFT calculation (PBE-GGA) of Mg7ZnCd12 after structural relaxation.

Cell and atoms, written as extended XYZ:
```
20
Lattice="5.7288 0.0000 1.6577 -3.2639 8.4394 4.1279 -0.7991 0.0000 9.9136" Properties=species:S:1:pos:R:3 pbc="T T T"
Cd -0.2181 7.2075 7.7540
Cd -1.3837 5.5401 4.9338
Cd 1.8839 1.2319 7.9452
Cd 1.2872 1.6674 2.8554
Cd 3.0495 2.8993 10.7654
Mg -3.0439 7.2407 6.7695
Cd 0.3786 6.7720 12.8438
Mg 4.1878 1.5452 3.5814
Mg 0.1648 2.7439 9.9843
Cd -0.2534 4.1780 2.5740
Cd 1.0135 0.1133 5.3477
Mg 4.7097 1.1987 8.9297
Mg 2.8644 0.0000 0.8288
Cd 1.9192 4.2614 13.1252
Cd 2.2660 4.1481 8.1711
Cd 0.6523 8.3261 10.3515
Mg 1.5010 5.6956 5.7149
Mg -2.5220 6.8943 12.1178
Cd -0.6002 4.2913 7.5281
Zn 0.0000 0.0000 0.0000
```

V	490.5	Å³/f.u.
SG	No. 148
DFT total energy	-1.145	eV/atom
ΔH_f (0 K)	0.0262	eV/atom

=====

3.
The following is a DFT calculation (PBE-GGA) of LaIn2NiI after structural relaxation.

Cell and atoms, written as extended XYZ:
```
5
Lattice="4.9702 0.0000 0.0000 0.0000 4.9702 0.0000 0.0000 0.0000 5.6227" Properties=species:S:1:pos:R:3 pbc="T T T"
Ni 0.0000 0.0000 0.0000
I 2.4851 2.4851 2.8114
In 0.0000 2.4851 0.0000
In 2.4851 0.0000 0.0000
La 0.0000 0.0000 2.8114
```

V	138.9	Å³/f.u.
SG	No. 123
DFT total energy	-4.017	eV/atom
formation energy (no corrections)	-470	meV/atom

=====

4.
The following is a DFT calculation (PBE-GGA) of GaSnS4 after structural relaxation.

Cell and atoms, written as extended XYZ:
```
12
Lattice="-2.0308 -0.9748 -2.9056 3.2594 -5.4430 -0.4521 -6.3224 -6.1284 6.4749" Properties=species:S:1:pos:R:3 pbc="T T T"
S -2.6848 -3.8519 0.8427
Sn -3.1612 -3.0642 3.2374
S -2.4091 -8.6943 2.2745
Ga -2.5469 -6.2731 1.5586
S -3.2008 -9.1502 5.3068
S -2.9206 -5.5724 3.9104
S 0.8550 -5.7170 -1.0054
Sn 0.6143 -3.2089 -1.6788
S -5.9488 -6.8292 4.1226
S -2.1732 -6.9738 -0.7932
Ga 0.0000 0.0000 0.0000
S -1.8930 -3.3960 -2.1896
```

V	126.5	Å³/f.u.
SG	No. 12
DFT total energy	-4.166	eV/atom
formation energy (no corrections)	-243	meV/atom

=====

5.
The following is a DFT calculation (PBE-GGA) of Pm5PrNd4 after structural relaxation.

Cell and atoms, written as extended XYZ:
```
20
Lattice="-0.5903 4.2525 -4.1325 1.4818 -7.3604 -7.7860 -10.6590 -1.7986 -0.3284" Properties=species:S:1:pos:R:3 pbc="T T T"
Nd -5.2435 -0.8442 -3.2585
Nd -7.9643 -3.5592 -5.6642
Pr -0.3759 2.7085 -2.6320
Nd 0.0646 0.5172 -4.9312
Pm -5.9197 3.3530 -4.2964
Pm -7.0654 -0.1413 -6.2647
Pr -4.8029 -3.0354 -5.5576
Pm 0.7409 -3.6800 -3.8932
Pm -3.5762 0.4474 -6.1573
Pm -8.7725 -1.9842 -2.2533
Nd 0.6679 -2.4792 -8.1008
Pm -3.0912 -1.9620 -8.7060
Pm -6.5803 -2.5508 -8.8135
Nd -1.6442 -2.4928 -5.4695
Pm -7.7758 -6.9352 -7.4905
Nd -4.3649 -5.2082 -7.8748
Pm -1.6026 -0.7744 -2.0324
Pm -0.6059 -5.7254 -7.2696
Nd -3.5347 2.1658 -2.7202
Nd -7.8736 1.4337 -2.8538
```

V	348.5	Å³/f.u.
SG	No. 129
DFT total energy	-4.589	eV/atom
ΔH_f (0 K)	0.1718	eV/atom
energy above the lowest structure with this stoichiometry	1.58	eV/f.u.

=====

6.
The following is a DFT calculation (PBE-GGA) of BeSb2W after structural relaxation.

Cell and atoms, written as extended XYZ:
```
4
Lattice="-0.5668 -2.8438 1.2497 3.0868 0.4368 -0.5014 0.7755 3.1497 7.5191" Properties=species:S:1:pos:R:3 pbc="T T T"
Sb 0.3994 1.6222 3.8725
Sb 0.7639 3.1024 7.4062
W 1.4539 -0.4161 2.2540
Be 1.8417 1.1587 6.0135
```

V	76.1	Å³/f.u.
SG	No. 65
DFT total energy	-5.399	eV/atom
formation energy (no corrections)	832	meV/atom

=====

7.
The following is a DFT calculation (PBE-GGA) of CuIr2Os after structural relaxation.

Cell and atoms, written as extended XYZ:
```
4
Lattice="-0.6637 2.4234 1.0682 -1.7981 -1.2209 1.6525 5.3401 -0.8288 5.1982" Properties=species:S:1:pos:R:3 pbc="T T T"
Ir 5.3110 -0.8243 5.1699
Ir 0.1303 0.3900 2.6853
Cu 2.7712 -0.0199 5.2561
Os 2.6761 -0.4153 2.6050
```

V	55.9	Å³/f.u.
SG	No. 99
DFT total energy	-8.080	eV/atom
ΔH_f (0 K)	0.1821	eV/atom
energy above the lowest structure with this stoichiometry	0.56	eV/f.u.

=====

8.
The following is a DFT calculation (PBE-GGA) of BaY2Be after structural relaxation.

Cell and atoms, written as extended XYZ:
```
4
Lattice="3.5656 0.0012 0.0000 -0.0021 3.5656 0.0000 0.0000 0.0000 9.6758" Properties=species:S:1:pos:R:3 pbc="T T T"
Be 1.7817 1.7834 7.2569
Ba 1.7817 1.7834 2.4190
Y 0.0000 0.0000 8.8395
Y 0.0000 0.0000 5.6743
```

V	123.0	Å³/f.u.
SG	No. 123
DFT total energy	-4.453	eV/atom
ΔH_f (0 K)	0.1916	eV/atom

=====

9.
The following is a DFT calculation (PBE-GGA) of CeEuPd2 after structural relaxation.

Cell and atoms, written as extended XYZ:
```
4
Lattice="3.6077 0.0000 0.0000 0.0000 3.6077 0.0000 0.0000 0.0000 7.2578" Properties=species:S:1:pos:R:3 pbc="T T T"
Pd 0.0000 0.0000 5.6411
Pd 0.0000 0.0000 1.6167
Ce 1.8039 1.8039 0.0000
Eu 1.8039 1.8039 3.6289
```

V	94.5	Å³/f.u.
SG	No. 123
DFT total energy	-7.320	eV/atom
ΔH_f (0 K)	-0.6712	eV/atom
energy above the lowest structure with this stoichiometry	0.00	eV/f.u.

=====

10.
The following is a DFT calculation (PBE-GGA) of Ca2SnPbAu4 after structural relaxation.

Cell and atoms, written as extended XYZ:
```
8
Lattice="5.0572 0.0000 0.0000 2.5286 4.3797 0.0000 2.5286 1.4599 8.2472" Properties=species:S:1:pos:R:3 pbc="T T T"
Sn 5.0572 2.9198 4.1236
Ca 2.5286 1.4599 2.0523
Ca 7.5858 4.3797 6.1949
Au 2.5286 1.4599 5.0946
Au 7.5858 4.3797 3.1527
Pb 0.0000 0.0000 0.0000
Au 5.0572 2.9198 1.1269
Au 5.0572 2.9198 7.1204
```

V	182.7	Å³/f.u.
SG	No. 166
DFT total energy	-3.660	eV/atom
ΔH_f (0 K)	-0.5575	eV/atom

=====

11.
The following is a DFT calculation (PBE-GGA) of ErTm2Tl3 after structural relaxation.

Cell and atoms, written as extended XYZ:
```
6
Lattice="3.6228 0.0000 0.0000 0.0000 3.6228 0.0000 0.0000 0.0000 12.1654" Properties=species:S:1:pos:R:3 pbc="T T T"
Tl 0.0000 0.0000 8.1225
Tl 0.0000 0.0000 4.0429
Tl 0.0000 0.0000 0.0000
Tm 1.8114 1.8114 10.1430
Tm 1.8114 1.8114 2.0224
Er 1.8114 1.8114 6.0827
```

V	159.7	Å³/f.u.
SG	No. 123
DFT total energy	-3.739	eV/atom
ΔH_f (0 K)	-0.3052	eV/atom